# Tb3CeSm12

An optimized crystal structure of Tb3CeSm12 (PBE, Alexandria).

Values from the calculation:
- space-group type = P4/mmm, No. 123
- energy of formation from the pure elements (eV/f.u.) = 0.486
- E (eV/atom) = -4.748

Cell lengths 5.1057, 5.1057, 20.4189 Å; angles 90.00, 90.00, 90.00 degrees
Closest atoms and distances in Å follow each position.
Sites, in units of the cell vectors:
Tb 0.0000 0.0000 0.0000  12 Sm 3.61-3.62
Tb 0.0000 0.0000 0.2507  12 Sm 3.61-3.62
Tb 0.0000 0.0000 0.7493  12 Sm 3.61-3.62
Ce 0.0000 0.0000 0.5000  12 Sm 3.59-3.61
Sm 0.0000 0.5000 0.1254  8 Sm 3.59-3.62, 4 Tb 3.61-3.62
Sm 0.0000 0.5000 0.3761  8 Sm 3.59-3.64, 2 Ce 3.59, 2 Tb 3.62
Sm 0.0000 0.5000 0.6239  8 Sm 3.59-3.64, 2 Ce 3.59, 2 Tb 3.62
Sm 0.0000 0.5000 0.8746  8 Sm 3.59-3.62, 4 Tb 3.61-3.62
Sm 0.5000 0.0000 0.1254  8 Sm 3.59-3.62, 4 Tb 3.61-3.62
Sm 0.5000 0.0000 0.3761  8 Sm 3.59-3.64, 2 Ce 3.59, 2 Tb 3.62
Sm 0.5000 0.0000 0.6239  8 Sm 3.59-3.64, 2 Ce 3.59, 2 Tb 3.62
Sm 0.5000 0.0000 0.8746  8 Sm 3.59-3.62, 4 Tb 3.61-3.62
Sm 0.5000 0.5000 0.0000  4 Tb 3.61, 8 Sm 3.62
Sm 0.5000 0.5000 0.2489  8 Sm 3.59-3.64, 4 Tb 3.61
Sm 0.5000 0.5000 0.5000  8 Sm 3.59, 4 Ce 3.61
Sm 0.5000 0.5000 0.7511  8 Sm 3.59-3.64, 4 Tb 3.61


# Tb12CeSm5

An optimized crystal structure of Tb12CeSm5 (PBE, Alexandria).

Values from the calculation:
- space-group type = C2/m, No. 12
- energy of formation from the pure elements (eV/f.u.) = 1.896
- E (eV/atom) = -4.622

Cell lengths 10.3840, 10.3840, 5.7774 Å; angles 90.12, 90.12, 110.30 degrees
Closest atoms and distances in Å follow each position.
Sites, in units of the cell vectors:
Tb 0.0254 0.6705 0.9936  6 Tb 3.40-3.74, 3 Sm 3.44-3.61, 1 Ce 3.52
Tb 0.1673 0.5251 0.5048  5 Tb 3.33-3.71, 4 Sm 3.45-3.60
Tb 0.1979 0.1979 0.4590  2 Tb 3.14, 2 Sm 3.35
Tb 0.3014 0.3014 0.9600  2 Tb 3.14, 2 Sm 3.35
Tb 0.3295 0.9746 0.0064  6 Tb 3.40-3.74, 3 Sm 3.44-3.61, 1 Ce 3.52
Tb 0.4749 0.8327 0.4952  5 Tb 3.33-3.71, 4 Sm 3.45-3.60
Tb 0.5251 0.1673 0.5048  5 Tb 3.33-3.71, 4 Sm 3.45-3.60
Tb 0.6705 0.0254 0.9936  6 Tb 3.40-3.74, 3 Sm 3.44-3.61, 1 Ce 3.52
Tb 0.6986 0.6986 0.0400  2 Tb 3.14, 2 Sm 3.35
Tb 0.8021 0.8021 0.5410  2 Tb 3.14, 2 Sm 3.35
Tb 0.8327 0.4749 0.4952  5 Tb 3.33-3.71, 4 Sm 3.45-3.60
Tb 0.9746 0.3295 0.0064  6 Tb 3.40-3.74, 3 Sm 3.44-3.61, 1 Ce 3.52
Ce 0.0000 0.0000 0.0000  10 Tb 3.52-3.92, 4 Sm 3.74
Sm 0.1393 0.8607 0.5000  8 Tb 3.35-3.60, 2 Ce 3.74
Sm 0.3609 0.6391 0.0000  8 Tb 3.35-3.61, 2 Sm 3.74
Sm 0.5000 0.5000 0.5000  10 Tb 3.55-3.90, 4 Sm 3.74
Sm 0.6391 0.3609 0.0000  8 Tb 3.35-3.61, 2 Sm 3.74
Sm 0.8607 0.1393 0.5000  8 Tb 3.35-3.60, 2 Ce 3.74


# Tb5Ce2Sm5

An optimized crystal structure of Tb5Ce2Sm5 (PBE, Alexandria).

Values from the calculation:
- space-group type = P-1, No. 2
- energy of formation from the pure elements (eV/f.u.) = 0.636
- E (eV/atom) = -4.832

Cell lengths 6.2063, 8.0071, 8.7818 Å; angles 111.34, 90.20, 104.94 degrees
Closest atoms and distances in Å follow each position.
Sites, in units of the cell vectors:
Tb 0.0000 0.0000 0.0000  6 Sm 3.57-3.58, 4 Tb 3.59-3.61, 2 Ce 3.62
Tb 0.0850 0.7528 0.5827  5 Sm 3.53-3.60, 3 Ce 3.54-3.60, 4 Tb 3.58-3.62
Tb 0.1675 0.5034 0.1677  1 Ce 3.56, 4 Tb 3.58-3.62, 7 Sm 3.58-3.63
Tb 0.8325 0.4966 0.8323  1 Ce 3.56, 4 Tb 3.58-3.62, 7 Sm 3.58-3.63
Tb 0.9150 0.2472 0.4173  5 Sm 3.53-3.60, 3 Ce 3.54-3.60, 4 Tb 3.58-3.62
Ce 0.3381 0.0003 0.3368  1 Ce 3.50, 5 Tb 3.54-3.62, 6 Sm 3.54-3.59
Ce 0.6619 0.9997 0.6632  1 Ce 3.50, 5 Tb 3.54-3.62, 6 Sm 3.54-3.59
Sm 0.2482 0.2449 0.7468  6 Tb 3.53-3.63, 3 Ce 3.54-3.59, 3 Sm 3.59-3.65
Sm 0.4171 0.7539 0.9179  4 Sm 3.53-3.65, 6 Tb 3.57-3.62, 2 Ce 3.59
Sm 0.5000 0.5000 0.5000  2 Ce 3.58, 6 Tb 3.58-3.60, 4 Sm 3.59-3.60
Sm 0.5829 0.2461 0.0821  4 Sm 3.53-3.65, 6 Tb 3.57-3.62, 2 Ce 3.59
Sm 0.7518 0.7551 0.2532  6 Tb 3.53-3.63, 3 Ce 3.54-3.59, 3 Sm 3.59-3.65


# TbCe2Sm

An optimized crystal structure of TbCe2Sm (PBE, Alexandria).

Values from the calculation:
- space-group type = P4/mmm, No. 123
- energy of formation from the pure elements (eV/f.u.) = 0.449
- E (eV/atom) = -5.192
- polymorph energy (0 for the lowest one) (meV/atom) = 8.3

Cell lengths 4.9279, 4.9279, 5.0950 Å; angles 90.00, 90.00, 90.00 degrees
Closest atoms and distances in Å follow each position.
Sites, in units of the cell vectors:
Tb 0.0000 0.0000 0.0000  4 Sm 3.48, 8 Ce 3.54
Ce 0.0000 0.5000 0.5000  4 Ce 3.48, 4 Sm 3.54, 4 Tb 3.54
Ce 0.5000 0.0000 0.5000  4 Ce 3.48, 4 Sm 3.54, 4 Tb 3.54
Sm 0.5000 0.5000 0.0000  4 Tb 3.48, 8 Ce 3.54


# Tb4CeSm4

An optimized crystal structure of Tb4CeSm4 (PBE, Alexandria).

Values from the calculation:
- space-group type = I4/mmm, No. 139
- energy of formation from the pure elements (eV/f.u.) = 0.373
- E (eV/atom) = -4.773

Cell lengths 8.0200, 8.0200, 8.0200 Å; angles 95.76, 95.76, 143.07 degrees
Closest atoms and distances in Å follow each position.
Sites, in units of the cell vectors:
Tb 0.0000 0.3333 0.3333  1 Ce 3.59, 5 Tb 3.59, 6 Sm 3.59-3.60
Tb 0.0000 0.6667 0.6667  1 Ce 3.59, 5 Tb 3.59, 6 Sm 3.59-3.60
Tb 0.3333 0.0000 0.3333  1 Ce 3.59, 5 Tb 3.59, 6 Sm 3.59-3.60
Tb 0.6667 0.0000 0.6667  1 Ce 3.59, 5 Tb 3.59, 6 Sm 3.59-3.60
Ce 0.0000 0.0000 0.0000  8 Sm 3.57, 4 Tb 3.59
Sm 0.3350 0.3350 0.6700  4 Sm 3.55-3.62, 2 Ce 3.57, 6 Tb 3.59-3.60
Sm 0.3350 0.6650 0.0000  4 Sm 3.55-3.62, 2 Ce 3.57, 6 Tb 3.59-3.60
Sm 0.6650 0.3350 0.0000  4 Sm 3.55-3.62, 2 Ce 3.57, 6 Tb 3.59-3.60
Sm 0.6650 0.6650 0.3300  4 Sm 3.55-3.62, 2 Ce 3.57, 6 Tb 3.59-3.60


# Tb4CeSm3

An optimized crystal structure of Tb4CeSm3 (PBE, Alexandria).

Values from the calculation:
- space-group type = C2/m, No. 12
- energy of formation from the pure elements (eV/f.u.) = 1.994
- E (eV/atom) = -4.577

Cell lengths 25.1964, 3.4312, 6.1184 Å; angles 90.00, 95.11, 90.00 degrees
Closest atoms and distances in Å follow each position.
Sites, in units of the cell vectors:
Tb 0.1054 0.0000 0.2315  3 Sm 3.20-3.25, 2 Ce 3.37, 4 Tb 3.38-3.43
Tb 0.2211 0.5000 0.2364  6 Tb 3.38-3.77, 1 Sm 3.38
Tb 0.2789 0.0000 0.7636  6 Tb 3.38-3.77, 1 Sm 3.38
Tb 0.3946 0.5000 0.7685  3 Sm 3.20-3.25, 2 Ce 3.37, 4 Tb 3.38-3.43
Tb 0.6054 0.5000 0.2315  3 Sm 3.20-3.25, 2 Ce 3.37, 4 Tb 3.38-3.43
Tb 0.7211 0.0000 0.2364  6 Tb 3.38-3.77, 1 Sm 3.38
Tb 0.7789 0.5000 0.7636  6 Tb 3.38-3.77, 1 Sm 3.38
Tb 0.8946 0.0000 0.7685  3 Sm 3.20-3.25, 2 Ce 3.37, 4 Tb 3.38-3.43
Ce 0.0000 0.5000 0.0000  4 Tb 3.37, 2 Ce 3.43, 4 Sm 3.51
Ce 0.5000 0.0000 0.0000  4 Tb 3.37, 2 Ce 3.43, 4 Sm 3.51
Sm 0.0000 0.0000 0.5000  2 Tb 3.25, 2 Sm 3.43, 4 Ce 3.51
Sm 0.1443 0.0000 0.7481  3 Tb 3.20-3.38, 2 Sm 3.43
Sm 0.3557 0.5000 0.2519  3 Tb 3.20-3.38, 2 Sm 3.43
Sm 0.5000 0.5000 0.5000  2 Tb 3.25, 2 Sm 3.43, 4 Ce 3.51
Sm 0.6443 0.5000 0.7481  3 Tb 3.20-3.38, 2 Sm 3.43
Sm 0.8557 0.0000 0.2519  3 Tb 3.20-3.38, 2 Sm 3.43


# Tb2CeSm

An optimized crystal structure of Tb2CeSm (PBE, Alexandria).

Values from the calculation:
- space-group type = P4/mmm, No. 123
- energy of formation from the pure elements (eV/f.u.) = 0.285
- E (eV/atom) = -4.907
- polymorph energy (0 for the lowest one) (meV/atom) = 22.0

Cell lengths 5.0452, 5.0452, 5.0205 Å; angles 90.00, 90.00, 90.00 degrees
Closest atoms and distances in Å follow each position.
Sites, in units of the cell vectors:
Tb 0.0000 0.5000 0.0000  4 Sm 3.56, 4 Ce 3.56, 4 Tb 3.57
Tb 0.5000 0.0000 0.0000  4 Sm 3.56, 4 Ce 3.56, 4 Tb 3.57
Ce 0.0000 0.0000 0.5000  8 Tb 3.56, 4 Sm 3.57
Sm 0.5000 0.5000 0.5000  8 Tb 3.56, 4 Ce 3.57


# Tb2CeSm

An optimized crystal structure of Tb2CeSm (PBE, Alexandria).

Values from the calculation:
- space-group type = R3m, No. 160
- energy of formation from the pure elements (eV/f.u.) = 0.197
- E (eV/atom) = -4.929
- polymorph energy (0 for the lowest one) (meV/atom) = 0.0

Cell lengths 3.5660, 3.5660, 34.5347 Å; angles 90.00, 90.00, 120.00 degrees
Closest atoms and distances in Å follow each position.
Sites, in units of the cell vectors:
Tb 0.0000 0.0000 0.0000  3 Ce 3.49, 6 Tb 3.57, 3 Sm 3.61
Tb 0.0000 0.0000 0.1706  3 Ce 3.48, 6 Tb 3.57, 3 Sm 3.58
Tb 0.3333 0.6667 0.6667  3 Ce 3.49, 6 Tb 3.57, 3 Sm 3.61
Tb 0.3333 0.6667 0.8373  3 Ce 3.48, 6 Tb 3.57, 3 Sm 3.58
Tb 0.6667 0.3333 0.3333  3 Ce 3.49, 6 Tb 3.57, 3 Sm 3.61
Tb 0.6667 0.3333 0.5040  3 Ce 3.48, 6 Tb 3.57, 3 Sm 3.58
Ce 0.0000 0.0000 0.5852  6 Tb 3.48-3.49, 6 Ce 3.57
Ce 0.3333 0.6667 0.2519  6 Tb 3.48-3.49, 6 Ce 3.57
Ce 0.6667 0.3333 0.9186  6 Tb 3.48-3.49, 6 Ce 3.57
Sm 0.0000 0.0000 0.4192  6 Sm 3.57, 6 Tb 3.58-3.61
Sm 0.3333 0.6667 0.0859  6 Sm 3.57, 6 Tb 3.58-3.61
Sm 0.6667 0.3333 0.7525  6 Sm 3.57, 6 Tb 3.58-3.61